An optimized crystal structure of KScSb2Ir. Source: the Alexandria database, functional PBE.

Structure (POSCAR):
```
KScSb2Ir
1.0
5.5652 0.0000 0.0000
0.0000 5.5652 0.0000
0.0000 0.0000 4.6809
K Sc Sb Ir
1 1 2 1
Cartesian
0.0000 0.0000 0.0000
2.7826 2.7826 2.3405
0.0000 2.7826 0.0000
2.7826 0.0000 0.0000
0.0000 0.0000 2.3405
```

The calculation puts the energy relative to the elements, uncorrected at 1.57 eV/atom. The distance to the lowest polymorph of the same formula comes out at 476 meV/atom. The electronic total energy comes out at -16.70 eV for the cell shown. The crystal system is tetragonal.

***

An optimized crystal structure of KSiSbIr2. Source: the Alexandria database, functional PBE.

Structure (POSCAR):
```
KSiSbIr2
1.0
4.8566 0.0000 0.0000
0.0000 4.8566 0.0000
0.0000 0.0000 4.9093
K Si Sb Ir
1 1 1 2
Cartesian
0.0000 0.0000 0.0000
0.0000 0.0000 2.4547
2.4283 2.4283 2.4547
0.0000 2.4283 0.0000
2.4283 0.0000 0.0000
```

The calculation puts the energy relative to the elements, uncorrected at 2.53 eV/atom. The electronic total energy comes out at -15.73 eV for the cell shown. The crystal system is tetragonal.

***

An optimized crystal structure of KSc3Ir. Source: the Alexandria database, functional PBE.

Structure (POSCAR):
```
KSc3Ir
1.0
5.2127 0.0000 0.0000
0.0000 5.2127 0.0000
0.0000 0.0000 5.2127
K Sc Ir
1 3 1
Cartesian
0.0000 0.0000 0.0000
0.0000 2.6064 2.6064
2.6064 0.0000 2.6064
2.6064 2.6064 0.0000
2.6064 2.6064 2.6064
```

The distance to the lowest polymorph of the same formula comes out at 0 meV/atom. The electronic total energy comes out at -29.56 eV for the cell shown. The crystal system is cubic. The energy of formation comes out at -121 meV per atom.

***

An optimized crystal structure of K2ScIr2. Source: the Alexandria database, functional PBE.

Structure (POSCAR):
```
K2ScIr2
1.0
3.9644 0.0000 0.0000
0.0000 3.9644 0.0000
0.0000 0.0000 15.1547
K Sc Ir
4 2 4
Cartesian
0.0000 1.9822 3.7887
0.0000 1.9822 11.3660
1.9822 0.0000 3.7887
1.9822 0.0000 11.3660
0.0000 0.0000 0.0000
1.9822 1.9822 7.5773
0.0000 0.0000 6.3599
0.0000 0.0000 8.7947
1.9822 1.9822 1.2174
1.9822 1.9822 13.9373
```

The distance to the lowest polymorph of the same formula comes out at 0 meV/atom. The electronic total energy comes out at -44.82 eV for the cell shown. The crystal system is tetragonal. The energy of formation comes out at 768 meV per atom.

***

An optimized crystal structure of KSc3Ir. Source: the Alexandria database, functional PBE.

Structure (POSCAR):
```
KSc3Ir
1.0
4.6484 0.0000 0.0000
0.0000 4.6484 0.0000
0.0000 0.0000 4.6484
K Sc Ir
1 3 1
Cartesian
0.0000 0.0000 0.0000
0.0000 0.0000 2.3242
0.0000 2.3242 0.0000
2.3242 0.0000 0.0000
2.3242 2.3242 2.3242
```

The distance to the lowest polymorph of the same formula comes out at 1592 meV/atom. The electronic total energy comes out at -21.60 eV for the cell shown. The crystal system is cubic. The energy of formation comes out at 1470 meV per atom.

***

An optimized crystal structure of K2ScIr2. Source: the Alexandria database, functional PBE.

Structure (POSCAR):
```
K2ScIr2
1.0
9.2860 0.0000 0.0000
0.0000 9.2860 0.0000
0.0000 0.0000 2.6634
K Sc Ir
4 2 4
Cartesian
1.0156 3.6274 0.0000
3.6274 8.2704 0.0000
5.6586 1.0156 0.0000
8.2704 5.6586 0.0000
0.0000 0.0000 0.0000
4.6430 4.6430 0.0000
1.7813 6.4243 1.3317
2.8617 1.7813 1.3317
6.4243 7.5047 1.3317
7.5047 2.8617 1.3317
```

The distance to the lowest polymorph of the same formula comes out at 153 meV/atom. The electronic total energy comes out at -43.29 eV for the cell shown. The crystal system is tetragonal. The energy of formation comes out at 921 meV per atom.

***

An optimized crystal structure of K2ScIr2. Source: the Alexandria database, functional PBE.

Structure (POSCAR):
```
K2ScIr2
1.0
5.1677 0.0000 0.0000
0.0000 5.1677 0.0000
0.0000 0.0000 9.0718
K Sc Ir
4 2 4
Cartesian
0.0000 0.0000 1.2510
0.0000 0.0000 7.8208
2.5838 2.5838 3.2849
2.5838 2.5838 5.7869
0.0000 0.0000 4.5359
2.5838 2.5838 0.0000
0.0000 2.5838 2.2679
0.0000 2.5838 6.8038
2.5838 0.0000 2.2679
2.5838 0.0000 6.8038
```

The distance to the lowest polymorph of the same formula comes out at 613 meV/atom. The electronic total energy comes out at -38.69 eV for the cell shown. The crystal system is tetragonal. The energy of formation comes out at 1381 meV per atom.

***

An optimized crystal structure of K3ScIr. Source: the Alexandria database, functional PBE.

Structure (POSCAR):
```
K3ScIr
1.0
6.1460 0.0000 0.0000
0.0000 6.1460 0.0000
0.0000 0.0000 6.1460
K Sc Ir
3 1 1
Cartesian
0.0000 0.0000 3.0730
0.0000 3.0730 0.0000
3.0730 0.0000 0.0000
3.0730 3.0730 3.0730
0.0000 0.0000 0.0000
```

The electronic total energy comes out at -12.68 eV for the cell shown. The crystal system is cubic. The energy of formation comes out at 1161 meV per atom.

***

An optimized crystal structure of KSc4Ir. Source: the Alexandria database, functional PBE.

Structure (POSCAR):
```
KSc4Ir
1.0
0.0000 4.1626 4.1626
4.1626 0.0000 4.1626
4.1626 4.1626 0.0000
K Sc Ir
1 4 1
Cartesian
0.0000 0.0000 0.0000
5.1714 3.1537 3.1537
3.1537 5.1714 3.1537
3.1537 3.1537 5.1714
5.1714 5.1714 5.1714
2.0813 2.0813 2.0813
```

The electronic total energy comes out at -31.09 eV for the cell shown. The crystal system is cubic. The energy of formation comes out at 699 meV per atom.

***

An optimized crystal structure of KScIr3. Source: the Alexandria database, functional PBE.

Structure (POSCAR):
```
KScIr3
1.0
4.6794 0.0000 0.0000
0.0000 4.6794 0.0000
0.0000 0.0000 4.6794
K Sc Ir
1 1 3
Cartesian
0.0000 0.0000 0.0000
2.3397 2.3397 2.3397
0.0000 0.0000 2.3397
0.0000 2.3397 0.0000
2.3397 0.0000 0.0000
```

The electronic total energy comes out at -22.47 eV for the cell shown. The crystal system is cubic. The energy of formation comes out at 2309 meV per atom.

***

An optimized crystal structure of KScTa2Ir. Source: the Alexandria database, functional PBE.

Structure (POSCAR):
```
KScTa2Ir
1.0
4.6350 0.0000 0.0000
0.0000 4.6350 0.0000
0.0000 0.0000 4.4240
K Sc Ta Ir
1 1 2 1
Cartesian
0.0000 0.0000 0.0000
0.0000 0.0000 2.2120
0.0000 2.3175 0.0000
2.3175 0.0000 0.0000
2.3175 2.3175 2.2120
```

The electronic total energy comes out at -27.64 eV for the cell shown. The crystal system is tetragonal. The energy of formation comes out at 2471 meV per atom.

***

An optimized crystal structure of KScZn2Ir. Source: the Alexandria database, functional PBE.

Structure (POSCAR):
```
KScZn2Ir
1.0
5.0541 0.0000 0.0000
0.0000 5.0541 0.0000
0.0000 0.0000 4.8694
K Sc Zn Ir
1 1 2 1
Cartesian
0.0000 0.0000 0.0000
2.5271 2.5271 0.0000
0.0000 2.5271 2.4347
2.5271 0.0000 2.4347
2.5271 2.5271 2.4347
```

The electronic total energy comes out at -19.51 eV for the cell shown. The crystal system is tetragonal. The energy of formation comes out at -135 meV per atom.

***

Copy entry 3 word for word.
An optimized crystal structure of KSc3Ir. Source: the Alexandria database, functional PBE.

Structure (POSCAR):
```
KSc3Ir
1.0
5.2127 0.0000 0.0000
0.0000 5.2127 0.0000
0.0000 0.0000 5.2127
K Sc Ir
1 3 1
Cartesian
0.0000 0.0000 0.0000
0.0000 2.6064 2.6064
2.6064 0.0000 2.6064
2.6064 2.6064 0.0000
2.6064 2.6064 2.6064
```

The distance to the lowest polymorph of the same formula comes out at 0 meV/atom. The electronic total energy comes out at -29.56 eV for the cell shown. The crystal system is cubic. The energy of formation comes out at -121 meV per atom.